Entry 1:
Density functional theory data (GGA-PBE) for a relaxed Zr2Hg2B crystal.

```
Zr2Hg2B
1.0
3.9595 0.0000 0.0000
0.0000 3.9595 0.0000
1.9798 1.9798 7.4085
B Hg Zr
1 2 2
Cartesian
0.0000 0.0000 0.0000
1.9798 1.9798 1.3728
3.9595 3.9595 6.0357
3.9595 1.9798 3.7043
1.9798 3.9595 3.7043
```

Properties
**Space group**: I4/mmm (139)
**Density of states at the Fermi level**: 4.2 states/eV/cell
**Electronic total energy**: -3.80 eV/atom

Entry 2:
Density functional theory data (GGA-PBE) for a relaxed HoB2 crystal.

```
HoB2
1.0
2.8397 0.0000 0.0000
0.0000 2.8397 0.0000
-1.4199 -1.4199 4.5675
B Ho
2 1
Cartesian
1.4199 1.4199 1.9643
0.0000 0.0000 2.6032
0.0000 0.0000 0.0000
```

Properties
**Space group**: I4/mmm (139)
**Density of states at the Fermi level**: 1.5 states/eV/cell
**Electronic total energy**: -5.27 eV/atom

Entry 3:
Density functional theory data (GGA-PBE) for a relaxed HoB2 crystal.

```
HoB2
1.0
3.2823 0.0000 0.0000
-1.6411 2.8426 0.0000
0.0000 0.0000 3.8389
B Ho
2 1
Cartesian
0.0000 1.8950 1.9195
1.6411 0.9475 1.9195
0.0000 0.0000 0.0000
```

Properties
**Space group**: P6/mmm (191)
**Density of states at the Fermi level**: 0.8 states/eV/cell
**Electronic total energy**: -6.57 eV/atom

Entry 4:
Density functional theory data (GGA-PBE) for a relaxed HoB6 crystal.

```
HoB6
1.0
4.0909 0.0000 0.0000
0.0000 4.0909 0.0000
0.0000 0.0000 4.0909
Ho B
1 6
Cartesian
0.0000 0.0000 0.0000
0.8135 2.0455 2.0455
2.0455 3.2775 2.0455
2.0455 0.8135 2.0455
3.2775 2.0455 2.0455
2.0455 2.0455 0.8135
2.0455 2.0455 3.2775
```

Properties
**Space group**: Pm-3m (221)
**Density of states at the Fermi level**: 2.5 states/eV/cell
**Electronic total energy**: -6.76 eV/atom

Across the entries above, total moment takes the values 0.00 0.00 0.00 0.00 μB per cell, respectively.